No. 1
Entry from the Alexandria database: crystalline K3CdH at its relaxed geometry (GGA-PBE). Values from VASP.

```
&SYSTEM
  ibrav = 0, nat = 5, ntyp = 3
/
ATOMIC_SPECIES
K 39.10 K.upf
Cd 112.41 Cd.upf
H 1.01 H.upf
CELL_PARAMETERS angstrom
5.6260 0.0000 0.0000
0.0000 5.6260 0.0000
0.0000 0.0000 5.6260
ATOMIC_POSITIONS crystal
K 0.0000 0.0000 0.5000
K 0.0000 0.5000 0.0000
K 0.5000 0.0000 0.0000
Cd 0.5000 0.5000 0.5000
H 0.0000 0.0000 0.0000
```

Results
uncorrected energy	-1.54	eV/atom



No. 2
Entry from the Alexandria database: crystalline K2CdH3 at its relaxed geometry (GGA-PBE). Values from VASP.

```
&SYSTEM
  ibrav = 0, nat = 12, ntyp = 3
/
ATOMIC_SPECIES
K 39.10 K.upf
Cd 112.41 Cd.upf
H 1.01 H.upf
CELL_PARAMETERS angstrom
5.5887 -2.8478 0.0000
5.5887 2.8478 0.0000
-2.4990 0.0000 7.0383
ATOMIC_POSITIONS crystal
K 0.1611 0.1624 0.0811
K 0.1624 0.1611 0.5811
K 0.8376 0.8389 0.4189
K 0.8389 0.8376 0.9189
Cd 0.4978 0.5022 0.7500
Cd 0.5022 0.4978 0.2500
H 0.1564 0.8436 0.7500
H 0.3687 0.3704 0.4347
H 0.3704 0.3687 0.9347
H 0.6296 0.6313 0.0653
H 0.6313 0.6296 0.5653
H 0.8436 0.1564 0.2500
```

Results
uncorrected energy	-2.19	eV/atom



No. 3
Entry from the Alexandria database: crystalline K4CdH6 at its relaxed geometry (GGA-PBE). Values from VASP.

```
&SYSTEM
  ibrav = 0, nat = 22, ntyp = 3
/
ATOMIC_SPECIES
K 39.10 K.upf
Cd 112.41 Cd.upf
H 1.01 H.upf
CELL_PARAMETERS angstrom
6.4900 -3.4712 0.0000
6.4900 3.4712 0.0000
-5.4954 0.0000 11.7293
ATOMIC_POSITIONS crystal
K 0.0697 0.4743 0.8543
K 0.1266 0.8734 0.5000
K 0.3135 0.5782 0.1925
K 0.4743 0.0697 0.3543
K 0.5316 0.7894 0.0130
K 0.5782 0.3135 0.6925
K 0.7894 0.5316 0.5130
K 0.8734 0.1266 0.0000
Cd 0.4871 0.9467 0.7585
Cd 0.9467 0.4871 0.2585
H 0.0772 0.4944 0.4130
H 0.1840 0.2870 0.1818
H 0.2145 0.7318 0.0176
H 0.2870 0.1840 0.6818
H 0.3744 0.7540 0.7069
H 0.4097 0.7959 0.3970
H 0.4944 0.0772 0.9130
H 0.7318 0.2145 0.5176
H 0.7540 0.3744 0.2069
H 0.7680 0.8205 0.7316
H 0.7959 0.4097 0.8970
H 0.8205 0.7680 0.2316
```

Results
uncorrected energy	-2.46	eV/atom



No. 4
Entry from the Alexandria database: crystalline K3Cd2H6 at its relaxed geometry (GGA-PBE). Values from VASP.

```
&SYSTEM
  ibrav = 0, nat = 11, ntyp = 3
/
ATOMIC_SPECIES
K 39.10 K.upf
Cd 112.41 Cd.upf
H 1.01 H.upf
CELL_PARAMETERS angstrom
-2.0854 2.0854 10.7953
2.0854 -2.0854 10.7953
2.0854 2.0854 -10.7953
ATOMIC_POSITIONS crystal
K 0.0000 0.0000 0.0000
K 0.1809 0.1809 0.0000
K 0.8191 0.8191 0.0000
Cd 0.4005 0.4005 0.0000
Cd 0.5995 0.5995 0.0000
H 0.0873 0.5873 0.5000
H 0.3082 0.3082 0.0000
H 0.4127 0.9127 0.5000
H 0.5873 0.0873 0.5000
H 0.6918 0.6918 0.0000
H 0.9127 0.4127 0.5000
```

Results
uncorrected energy	-2.36	eV/atom



No. 5
Entry from the Alexandria database: crystalline KCdH3 at its relaxed geometry (GGA-PBE). Values from VASP.

```
&SYSTEM
  ibrav = 0, nat = 10, ntyp = 3
/
ATOMIC_SPECIES
K 39.10 K.upf
Cd 112.41 Cd.upf
H 1.01 H.upf
CELL_PARAMETERS angstrom
3.3652 0.0000 0.0000
0.0000 6.9637 0.0000
-0.0692 0.0000 7.2821
ATOMIC_POSITIONS crystal
K 0.2478 0.2500 0.3222
K 0.7522 0.7500 0.6778
Cd 0.2543 0.2500 0.8131
Cd 0.7457 0.7500 0.1869
H 0.2425 0.7500 0.0393
H 0.2522 0.0339 0.6762
H 0.2522 0.4661 0.6762
H 0.7478 0.5339 0.3238
H 0.7478 0.9661 0.3238
H 0.7575 0.2500 0.9607
```

Results
uncorrected energy	-2.43	eV/atom



No. 6
Entry from the Alexandria database: crystalline KCd2H at its relaxed geometry (GGA-PBE). Values from VASP.

```
&SYSTEM
  ibrav = 0, nat = 4, ntyp = 3
/
ATOMIC_SPECIES
K 39.10 K.upf
Cd 112.41 Cd.upf
H 1.01 H.upf
CELL_PARAMETERS angstrom
0.0000 3.8795 3.8795
3.8795 0.0000 3.8795
3.8795 3.8795 0.0000
ATOMIC_POSITIONS crystal
K 0.0000 0.0000 0.0000
Cd 0.2500 0.2500 0.2500
Cd 0.7500 0.7500 0.7500
H 0.5000 0.5000 0.5000
```

Results
uncorrected energy	-1.12	eV/atom